Entry from the Alexandria database: a geometry-optimized HfNb3Ni structure (GGA-PBE).

Unit cell a=4.6613 b=4.6613 c=4.6613 alpha=90.00 beta=90.00 gamma=90.00
Last column: nearest neighbours and their distance in Å.
Positions (direct):
Nb 0.0000 0.5000 0.0000  2 Ni 2.33
Nb 0.5000 0.0000 0.0000  2 Ni 2.33
Nb 0.0000 0.0000 0.5000  2 Ni 2.33
Ni 0.0000 0.0000 0.0000  6 Nb 2.33
Hf 0.5000 0.5000 0.5000  12 Nb 3.30

Computed properties:
total energy = -42.57 eV for the cell shown
energy relative to the lowest polymorph listed for this composition = 0 meV/atom
calculated formation energy = 675 meV per atom
total magnetization = 0.0 μB per formula unit